Entry 1:
VASP calculation (PBE) on a relaxed Pm2Y2Tl3 crystal.

Summary:
Distance to the lowest polymorph of the same formula in meV/atom: 0
Crystal system: monoclinic
Energy of formation from the pure elements in eV per atom: -0.266
ρ in g/cm³: 8.750

a = 3.8128 Å, b = 8.7014 Å, c = 6.4865 Å
α = 93.99°, β = 72.90°, γ = 90.01°
Fractional coordinates of all 7 atoms:
Pm: 0.7047 0.8417 0.5903
Pm: 0.2953 0.1583 0.4097
Tl: 0.1483 0.5460 0.7029
Tl: 0.8517 0.4540 0.2971
Tl: 0.0000 0.0000 0.0000
Y: 0.5636 0.2866 0.8727
Y: 0.4364 0.7134 0.1273


Entry 2:
VASP calculation (PBE) on a relaxed Pm4CuRu3 crystal.

Summary:
Crystal system: orthorhombic
Energy of formation from the pure elements in eV per atom: -0.166
ρ in g/cm³: 8.254

a = 4.2182 Å, b = 4.2933 Å, c = 10.5172 Å
α = 90.00°, β = 90.00°, γ = 90.00°
Fractional coordinates of all 8 atoms:
Pm: 0.5000 0.5000 0.3571
Pm: 0.0000 0.5000 0.8564
Pm: 0.5000 0.0000 0.6507
Pm: 0.0000 0.0000 0.1369
Ru: 0.0000 0.5000 0.5531
Ru: 0.0000 0.0000 0.4443
Ru: 0.5000 0.0000 0.9350
Cu: 0.5000 0.5000 0.0664


Entry 3:
VASP calculation (PBE) on a relaxed Sc2MnMo crystal.

Summary:
Distance to the lowest polymorph of the same formula in meV/atom: 249
Crystal system: monoclinic
Energy of formation from the pure elements in eV per atom: 0.270
ρ in g/cm³: 5.582

a = 4.3863 Å, b = 2.8923 Å, c = 5.7806 Å
α = 77.62°, β = 90.00°, γ = 90.00°
Fractional coordinates of all 4 atoms:
Mo: 0.5000 0.7500 0.7500
Sc: 0.0000 0.5124 0.5007
Sc: 0.0000 0.9876 0.9993
Mn: 0.5000 0.2500 0.2500


Entry 4:
VASP calculation (PBE) on a relaxed CuBrCl2 crystal.

Summary:
Distance to the lowest polymorph of the same formula in meV/atom: 84
Crystal system: orthorhombic
E_form (uncorrected) in eV/atom: -0.17
ρ in g/cm³: 3.220

a = 5.9421 Å, b = 5.9421 Å, c = 5.9421 Å
α = 146.36°, β = 100.72°, γ = 88.94°
Fractional coordinates of all 4 atoms:
Cl: 0.9574 0.9574 0.0000
Cl: 0.3356 0.8356 0.5000
Br: 0.7018 0.2018 0.5000
Cu: 0.5052 0.5052 0.0000


Entry 5:
VASP calculation (PBE) on a relaxed Pr12Ho3Tl crystal.

Summary:
Crystal system: tetragonal
Energy of formation from the pure elements in eV per atom: -0.035
ρ in g/cm³: 7.262

a = 5.1267 Å, b = 5.1267 Å, c = 20.7942 Å
α = 90.00°, β = 90.00°, γ = 90.00°
Fractional coordinates of all 16 atoms:
Pr: 0.0000 0.5000 0.3740
Pr: 0.0000 0.5000 0.8781
Pr: 0.0000 0.5000 0.1219
Pr: 0.5000 0.0000 0.1219
Pr: 0.5000 0.5000 0.0000
Pr: 0.5000 0.0000 0.6260
Pr: 0.5000 0.5000 0.7523
Pr: 0.5000 0.0000 0.3740
Pr: 0.0000 0.5000 0.6260
Pr: 0.5000 0.5000 0.2477
Pr: 0.5000 0.0000 0.8781
Pr: 0.5000 0.5000 0.5000
Ho: 0.0000 0.0000 0.2487
Ho: 0.0000 0.0000 0.7513
Ho: 0.0000 0.0000 0.5000
Tl: 0.0000 0.0000 0.0000


Entry 6:
VASP calculation (PBE) on a relaxed Ac2YBi crystal.

Summary:
Distance to the lowest polymorph of the same formula in meV/atom: 2
Crystal system: tetragonal
Energy of formation from the pure elements in eV per atom: -0.335
ρ in g/cm³: 8.789

a = 5.1533 Å, b = 5.2504 Å, c = 5.2504 Å
α = 90.00°, β = 90.00°, γ = 90.00°
Fractional coordinates of all 4 atoms:
Y: 0.5000 0.0000 0.0000
Ac: 0.0000 0.5000 0.0000
Ac: 0.0000 0.0000 0.5000
Bi: 0.5000 0.5000 0.5000


Number 1: Fermi-level density of states 0.92 states/eV/atom. Number 2: Fermi-level density of states 0.91 states/eV/atom. Number 3: Fermi-level density of states 1.35 states/eV/atom. Number 4: Fermi-level density of states 0.11 states/eV/atom. Number 5: Fermi-level density of states 1.35 states/eV/atom. Number 6: Fermi-level density of states 1.09 states/eV/atom.